Below is a crystal of ScZn2Se relaxed with PBEsol, with properties calculated at the SCAN level.

magnetization	0.0	μB per cell
E	-0.585	hartree per atom
D(E_F)	2.1	states/eV/f.u.
uncorrected formation energy	-575	meV/atom
volume	17.581	Å³ per atom

Lattice parameters (Å, degrees): 3.504 3.505 5.727 90.19 90.00 90.00
Positions (direct):
Se  0.500  0.504  0.715
Zn  0.000  0.996  0.043
Zn  0.500  0.498  0.216
Sc  0.000  0.002  0.526